VASP calculation (PBE) on LaZn2W after structural relaxation.

Values from the calculation:
The space group is No. 166. The energy relative to the lowest polymorph listed for this composition is 0.186 eV per atom. The calculation puts the energy of formation at 9.91 kcal/mol of atoms. For the density of states at the Fermi level, the calculation gives 0.7839 states/eV per atom. The calculation puts the size of the total moment at 0.8 Bohr magnetons per cell.

Cell and atoms, written as POSCAR:
```
LaZn2W
1.0
1.486 0.858 10.085
-1.486 0.858 10.085
0.000 -1.716 10.085
La Zn W
1 2 1
Cartesian
0.000 0.000 0.000 La
0.000 0.000 7.237 Zn
0.000 0.000 23.018 Zn
0.000 0.000 15.127 W
```